Record 1
5
Lattice="-0.932 2.060 3.321 -3.742 0.514 -1.369 0.763 -6.052 1.539" Properties=species:S:1:pos:R:3 comment="YScSi2Os, relaxed, DFT GGA-PBE" raw_formation_energy_ev_per_atom=-0.73 pbc="T T T"
Y 0.000 0.000 0.000
Sc -2.658 -2.126 0.573
Si -2.668 0.285 1.505
Si -1.243 -3.763 1.986
Os -1.253 -1.352 2.918


Record 2
46
Lattice="-11.801 3.970 -2.136 0.957 -3.532 -12.091 -1.424 -3.711 0.972" Properties=species:S:1:pos:R:3 comment="NaSr2Nb5O15, relaxed, DFT GGA-PBE" raw_formation_energy_ev_per_atom=-2.66 pbc="T T T"
Na -4.893 -3.142 -3.902
Na -8.476 -2.997 -8.603
Sr -9.690 2.653 -3.785
Sr -1.202 -2.339 -10.409
Sr -5.968 1.809 -1.022
Sr 0.411 -1.943 -5.999
Nb -4.994 -3.118 -9.906
Nb -7.392 -0.460 -3.269
Nb -10.967 -0.861 -10.025
Nb -1.421 -2.725 -3.149
Nb -8.268 -2.448 -12.131
Nb -4.121 -1.137 -1.042
Nb -9.669 -0.368 -6.257
Nb -2.716 -3.210 -6.918
Nb -6.160 -1.705 -6.610
Nb -0.762 -1.986 0.520
O -3.202 -2.117 -2.508
O -9.340 -1.869 -10.560
O -9.162 -0.236 -4.276
O -3.344 -3.658 -8.816
O -4.252 -1.497 -10.470
O -6.837 1.297 -3.589
O -10.391 0.870 -10.390
O -0.705 -1.088 -3.665
O -7.532 -0.812 -12.621
O -3.564 0.594 -1.433
O -9.162 1.390 -6.639
O -1.927 -1.591 -7.421
O -1.759 -5.082 -11.743
O -10.779 1.107 -1.328
O -8.118 -1.350 -6.881
O -4.408 -2.595 -6.199
O -6.118 -2.526 -8.441
O -6.408 -1.419 -4.638
O -12.393 1.172 -3.445
O -0.145 -5.147 -9.626
O -4.253 -4.084 -11.512
O -8.297 0.076 -1.551
O -10.480 -0.771 -8.092
O -2.053 -3.191 -4.982
O -6.682 -3.004 -11.056
O -5.850 -0.957 -2.019
O -11.550 0.207 -5.818
O -1.000 -4.215 -7.245
O -5.528 -0.057 -7.041
O -0.118 -0.307 0.080